No. 1
Here is a relaxed NaZrAg crystal from Alexandria. Energies are from PBE.

The calculation puts the magnetization at 0.000 μB/atom. The value obtained for the formation energy from the elements is -0.03 eV per atom.

The space group is P4/nmm (No. 129, origin choice 2) and the conventional cell measures 3.281, 3.281 and 13.234 Å, with angles of 90.00, 90.00 and 90.00 degrees. Symmetry generates all atoms from Na at (0.250, 0.250, 0.113), Zr at (0.250, 0.250, 0.421) and Ag at (0.250, 0.250, 0.724).


No. 2
Here is a relaxed SrSbRu2 crystal from Alexandria. Energies are from PBE.

For the total energy, the calculation gives -0.2065 hartree per atom. The calculation puts the magnetization at 0.000 μB/atom.

The space group is R-3m (No. 166, hexagonal axes) and the conventional cell measures 3.5732, 3.5732 and 23.9866 Å, with angles of 90.00, 90.00 and 120.00 degrees. Symmetry generates all atoms from Sr at (0.0000, 0.0000, 0.0000), Sb at (0.0000, 0.0000, 0.5000) and Ru at (0.0000, 0.0000, 0.2336).


No. 3
Here is a relaxed PmEuIr crystal from Alexandria. Energies are from PBE.

The calculation puts the magnetization at 2.358 μB/atom. The polymorph energy (0 for the lowest one) comes out at 0.22 eV/f.u. The value obtained for the formation energy from the elements is -0.40 eV per atom.

The space group is P3m1 (No. 156) and the conventional cell measures 4.1837, 4.1837 and 6.3980 Å, with angles of 90.00, 90.00 and 120.00 degrees. Symmetry generates all atoms from Pm at (0.0000, 0.0000, 0.0000), Eu at (0.3333, 0.6667, 0.4726) and Ir at (0.6667, 0.3333, 0.2206).


No. 4
Here is a relaxed MgIn2WN4 crystal from Alexandria. Energies are from PBE.

For the total energy, the calculation gives -0.2507 hartree per atom. The calculation puts the magnetization at 0.000 μB/atom.

The space group is Fmm2 (No. 42) and the conventional cell measures 6.854, 6.855 and 10.540 Å, with angles of 90.00, 90.00 and 90.00 degrees. Symmetry generates all atoms from Mg at (0.000, 0.000, 0.000), In at (0.250, 0.250, 0.250), W at (0.000, 0.000, 0.500), N at (0.000, 0.226, 0.606) and N at (0.227, 0.000, 0.394).


No. 5
Here is a relaxed LiRh5S8 crystal from Alexandria. Energies are from PBE.

For the total energy, the calculation gives -0.2065 hartree per atom. The calculation puts the magnetization at 0.000 μB/atom.

The space group is F-43m (No. 216) and the conventional cell measures 9.962, 9.962 and 9.962 Å, with angles of 90.00, 90.00 and 90.00 degrees. Symmetry generates all atoms from Li at (0.000, 0.000, 0.000), Rh at (0.127, 0.127, 0.627), Rh at (0.250, 0.250, 0.250), S at (0.116, 0.116, 0.384) and S at (0.137, 0.137, 0.863).


No. 6
Here is a relaxed HfNpTcRu crystal from Alexandria. Energies are from PBE.

The calculation puts the magnetization at 0.757 μB/atom. The value obtained for the formation energy from the elements is -0.24 eV per atom.

The space group is F-43m (No. 216) and the conventional cell measures 6.619, 6.619 and 6.619 Å, with angles of 90.00, 90.00 and 90.00 degrees. Symmetry generates all atoms from Hf at (0.000, 0.000, 0.000), Np at (0.000, 0.000, 0.500), Tc at (0.250, 0.250, 0.750) and Ru at (0.250, 0.250, 0.250).


No. 7
Here is a relaxed ScCdBr2 crystal from Alexandria. Energies are from PBE.

The calculation puts the magnetization at 0.000 μB/atom. The polymorph energy (0 for the lowest one) comes out at 0.00 eV/f.u.

The space group is R-3m (No. 166, hexagonal axes) and the conventional cell measures 3.6948, 3.6948 and 33.4221 Å, with angles of 90.00, 90.00 and 120.00 degrees. Symmetry generates all atoms from Sc at (0.0000, 0.0000, 0.0000), Cd at (0.0000, 0.0000, 0.5000) and Br at (0.0000, 0.0000, 0.3841).


No. 8
Here is a relaxed Al2CuPt crystal from Alexandria. Energies are from PBE.

The calculation puts the magnetization at 0.000 μB/atom. The value obtained for the formation energy from the elements is -0.59 eV per atom.

The space group is Cm (No. 8) and the conventional cell measures 8.791, 3.304 and 4.170 Å, with angles of 90.00, 108.48 and 90.00 degrees. Symmetry generates all atoms from Al at (0.000, 0.000, 0.000), Al at (0.236, 0.000, 0.658), Cu at (0.242, 0.500, 0.160) and Pt at (0.499, 0.000, 0.503).